The following is a PBE calculation of an optimized crystal structure of LiAl2W, from the Alexandria database.

```
data_LiAl2W
_chemical_formula_sum 'Li2 Al4 W2'
_space_group_name_H-M_alt 'C 1 2/m 1'
_space_group_IT_number 12
_cell_length_a 8.9513
_cell_length_b 2.7072
_cell_length_c 5.1865
_cell_angle_alpha 90.00
_cell_angle_beta 97.27
_cell_angle_gamma 90.00
loop_
_space_group_symop_operation_xyz
'x,y,z'
'-x,-y,-z'
'-x,y,-z'
'x,-y,z'
'x+1/2,y+1/2,z'
'-x+1/2,-y+1/2,-z'
'-x+1/2,y+1/2,-z'
'x+1/2,-y+1/2,z'
loop_
_atom_site_label
_atom_site_fract_x
_atom_site_fract_y
_atom_site_fract_z
Li1 0.0000 0.0000 0.0000
Al1 0.2476 0.0000 0.7373
W1 0.0000 0.5000 0.5000
```

total magnetic moment = 0.00 μB per formula unit
formation energy from the elements = 94 meV per atom
V = 15.58 Å³/atom
total DFT energy (no corrections) = -43.95 eV for the cell shown
relative energy among the computed polymorphs = 0.71 eV per formula unit
density of states at the Fermi level = 0.43 states/eV/atom

---

The following is a PBE calculation of an optimized crystal structure of Ti2CuTe5, from the Alexandria database.

```
data_Ti2CuTe5
_chemical_formula_sum 'Ti8 Cu4 Te20'
_space_group_name_H-M_alt 'C m c m'
_space_group_IT_number 63
_space_group_name_Hall '-C 2c 2'
_cell_length_a 5.4878
_cell_length_b 13.0612
_cell_length_c 12.9942
_cell_angle_alpha 90.00
_cell_angle_beta 90.00
_cell_angle_gamma 90.00
loop_
_atom_site_label
_atom_site_fract_x
_atom_site_fract_y
_atom_site_fract_z
Ti1 0.0000 0.1679 0.0546
Cu1 0.0000 0.1953 0.7500
Te1 0.0000 0.0394 0.6116
Te2 0.0000 0.2651 0.2500
Te3 0.0000 0.3264 0.5835
```

total magnetic moment = 0.00 μB per formula unit
uncorrected formation energy = -0.350 eV per atom
V = 29.11 Å³/atom
total DFT energy (no corrections) = -153.58 eV for the cell shown
density of states at the Fermi level = 0.52 states/eV/atom

---

The following is a PBE calculation of an optimized crystal structure of CuGeF, from the Alexandria database.

```
data_CuGeF
_chemical_formula_sum 'Cu16 Ge16 F16'
_space_group_name_H-M_alt 'F d d 2'
_space_group_IT_number 43
_space_group_name_Hall 'F 2 -2d'
_cell_length_a 7.8391
_cell_length_b 11.9557
_cell_length_c 7.8423
_cell_angle_alpha 90.00
_cell_angle_beta 90.00
_cell_angle_gamma 90.00
loop_
_atom_site_label
_atom_site_fract_x
_atom_site_fract_y
_atom_site_fract_z
Cu1 0.0036 0.2102 0.0000
Ge1 0.0570 0.1160 0.7024
F1 0.0307 0.1164 0.2377
```

total magnetic moment = 0.00 μB per formula unit
uncorrected formation energy = -0.625 eV per atom
V = 15.31 Å³/atom
total DFT energy (no corrections) = -199.35 eV for the cell shown
density of states at the Fermi level = 0.25 states/eV/atom

---

The following is a PBE calculation of an optimized crystal structure of NpBS4, from the Alexandria database.

```
data_NpBS4
_chemical_formula_sum 'Np2 B2 S8'
_space_group_name_H-M_alt 'I -4'
_space_group_IT_number 82
_cell_length_a 5.9235
_cell_length_b 5.9235
_cell_length_c 6.6856
_cell_angle_alpha 90.00
_cell_angle_beta 90.00
_cell_angle_gamma 90.00
loop_
_space_group_symop_operation_xyz
'x,y,z'
'y,-x,-z'
'-x,-y,z'
'-y,x,-z'
'x+1/2,y+1/2,z+1/2'
'y+1/2,-x+1/2,-z+1/2'
'-x+1/2,-y+1/2,z+1/2'
'-y+1/2,x+1/2,-z+1/2'
loop_
_atom_site_label
_atom_site_fract_x
_atom_site_fract_y
_atom_site_fract_z
Np1 0.0000 0.0000 0.0000
B1 0.0000 0.5000 0.2500
S1 0.1628 0.2467 0.3650
```

total magnetic moment = 2.24 μB per formula unit
uncorrected formation energy = -0.510 eV per atom
V = 19.55 Å³/atom
total DFT energy (no corrections) = -78.37 eV for the cell shown
density of states at the Fermi level = 1.63 states/eV/atom